(1)
Material: SrAl12Zn4
Method: DFT, PBE
State: relaxed

Calculated volume (Å³/atom): 20.6
Total moment (Bohr magnetons per cell): 0.00
ΔH_f (0 K) (kJ per mole of atoms): 18.3

a = 7.693 Å, b = 7.693 Å, c = 7.693 Å
α = 109.47°, β = 109.47°, γ = 109.47°
Positions (direct):
1 Sr 0.000 0.000 0.000
2 Al 0.158 0.353 0.511
3 Al 0.158 0.647 0.805
4 Al 0.195 0.842 0.353
5 Al 0.353 0.195 0.842
6 Al 0.353 0.511 0.158
7 Al 0.489 0.842 0.647
8 Al 0.511 0.158 0.353
9 Al 0.647 0.489 0.842
10 Al 0.647 0.805 0.158
11 Al 0.805 0.158 0.647
12 Al 0.842 0.353 0.195
13 Al 0.842 0.647 0.489
14 Zn 0.000 0.000 0.500
15 Zn 0.000 0.500 0.000
16 Zn 0.500 0.000 0.000
17 Zn 0.500 0.500 0.500

(2)
Material: Sr3Al2Zn4
Method: DFT, PBE
State: relaxed

Calculated volume (Å³/atom): 25.4
Total moment (Bohr magnetons per cell): 0.00
ΔH_f (0 K) (kJ per mole of atoms): -22.5

a = 6.251 Å, b = 6.251 Å, c = 8.973 Å
α = 107.00°, β = 107.00°, γ = 43.34°
Positions (direct):
1 Sr 0.000 0.000 0.000
2 Sr 0.370 0.370 0.310
3 Sr 0.630 0.630 0.690
4 Al 0.332 0.332 0.667
5 Al 0.668 0.668 0.333
6 Zn 0.100 0.100 0.425
7 Zn 0.274 0.274 0.931
8 Zn 0.726 0.726 0.069
9 Zn 0.900 0.900 0.575

(3)
Material: Sr2Al3Zn4
Method: DFT, PBE
State: relaxed

Calculated volume (Å³/atom): 21.3
Total moment (Bohr magnetons per cell): 0.00
ΔH_f (0 K) (kJ per mole of atoms): -17.0

a = 8.627 Å, b = 8.627 Å, c = 8.145 Å
α = 90.00°, β = 90.00°, γ = 140.70°
Positions (direct):
1 Sr 0.106 0.894 0.900
2 Sr 0.394 0.606 0.400
3 Sr 0.606 0.394 0.600
4 Sr 0.894 0.106 0.100
5 Al 0.000 0.000 0.500
6 Al 0.025 0.475 0.750
7 Al 0.475 0.025 0.250
8 Al 0.500 0.500 0.000
9 Al 0.525 0.975 0.750
10 Al 0.975 0.525 0.250
11 Zn 0.182 0.818 0.514
12 Zn 0.186 0.314 0.750
13 Zn 0.314 0.186 0.250
14 Zn 0.318 0.682 0.014
15 Zn 0.682 0.318 0.986
16 Zn 0.686 0.814 0.750
17 Zn 0.814 0.686 0.250
18 Zn 0.818 0.182 0.486